[1]
The following is a DFT calculation (GGA-PBE) of a relaxed structure of GdTmMnCo.

abc: 4.8655 4.8655 4.8655
angles: 60.00 60.00 60.00
Last column: magnetic moment on the atom in μB.
Sites, in units of the cell vectors:
Gd 0.2500 0.2500 0.2500  6.83
Tm 0.7500 0.7500 0.7500  -0.25
Co 0.5000 0.5000 0.5000  1.07
Mn 0.0000 0.0000 0.0000  3.45

Results
Calculated total energy ... -8.626 eV per atom
ΔE_f ... 0.32 eV/f.u.
Total moment ... 2.80 μB/atom


[2]
The following is a DFT calculation (GGA-PBE) of a relaxed structure of GdCo4Mo.

abc: 4.8656 4.8656 4.8656
angles: 60.00 60.00 60.00
Last column: magnetic moment on the atom in μB.
Sites, in units of the cell vectors:
Mo 0.2500 0.2500 0.2500  -0.16
Gd 0.0000 0.0000 0.0000  -7.04
Co 0.6252 0.6252 0.1244  0.39
Co 0.6252 0.1244 0.6252  0.39
Co 0.6252 0.6252 0.6252  0.39
Co 0.1244 0.6252 0.6252  0.39

Results
Calculated total energy ... -8.779 eV per atom
ΔE_f ... 0.66 eV/f.u.
Total moment ... 0.96 μB/atom